No. 1
CaNd2Cu after structural relaxation, computed with GGA-PBE.

a = 4.8601 Å, b = 11.8797 Å, c = 8.2699 Å
α = 90.00°, β = 90.00°, γ = 90.00°
Space group Cmcm (No. 63)
Asymmetric unit:
Ca  0.0000  0.0514  0.2500
Nd  0.0000  0.3518  0.0380
Cu  0.0000  0.2135  0.7500

Properties
Final energy   -3.920 eV/atom
Total magnetization   0.00 μB/f.u.
DOS(E_F)   4.08 states/eV/f.u.

---

No. 2
NaLiGe2 after structural relaxation, computed with GGA-PBE.

a = 3.3409 Å, b = 3.3409 Å, c = 6.8916 Å
α = 90.00°, β = 90.00°, γ = 90.00°
Space group P4/mmm (No. 123)
Asymmetric unit:
Na  0.0000  0.0000  0.0000
Li  0.0000  0.0000  0.5000
Ge  0.5000  0.5000  0.3081

Properties
Final energy   -3.231 eV/atom
Total magnetization   0.00 μB/f.u.
DOS(E_F)   0.93 states/eV/f.u.